Entry 1:
Computed, not measured: K2TaBr at its PBEsol-relaxed geometry at the meta-GGA SCAN level of DFT.

Unit cell a=3.254 b=3.255 c=10.444 alpha=90.00 beta=90.03 gamma=90.00
Sites, in units of the cell vectors:
1 K 0.001 0.000 0.207
2 Br 0.500 0.500 0.000
3 Ta 0.500 0.500 0.500
4 K 0.999 0.000 0.793

Computed properties:
calculated total energy = -25.40 eV/atom
space group = No. 123
uncorrected formation energy = 0.28 eV/atom
volume = 111 Å³ per cell

***

Entry 2:
Computed, not measured: K2TaBr at its PBEsol-relaxed geometry at the meta-GGA SCAN level of DFT.

Unit cell a=3.226 b=6.088 c=7.217 alpha=114.95 beta=102.91 gamma=90.00
Sites, in units of the cell vectors:
1 Ta 0.555 0.555 0.110
2 K 0.956 0.956 0.912
3 Br 0.225 0.725 0.450
4 K 0.764 0.264 0.528

Computed properties:
calculated total energy = -25.18 eV/atom
space group = No. 44
uncorrected formation energy = 0.50 eV/atom
volume = 125 Å³ per cell

***

Entry 3:
Computed, not measured: KTc2Br at its PBEsol-relaxed geometry at the meta-GGA SCAN level of DFT.

Unit cell a=4.906 b=4.906 c=4.906 alpha=60.00 beta=60.00 gamma=60.00
Sites, in units of the cell vectors:
1 Br 0.000 0.000 0.000
2 K 0.500 0.500 0.500
3 Tc 0.250 0.250 0.250
4 Tc 0.750 0.750 0.750

Computed properties:
calculated total energy = -22.65 eV/atom
space group = No. 225
uncorrected formation energy = 1.83 eV/atom
volume = 83 Å³ per cell

***

- Which of these has the lowest calculated total energy?
  number 1